# 1
DFT (PBE) results for crystalline MgCu2Ru at its relaxed geometry.

Values from the calculation:
D(E_F) in states/eV/cell: 3.237
Crystal system: orthorhombic
Theoretical density in g/cm3: 7.58
Calculated volume in Å³ per cell: 55.30
Space-group type: Imm2
DFT formation energy in meV/atom: 124

a = 5.1308 Å, b = 5.1308 Å, c = 5.1308 Å
α = 147.94°, β = 128.86°, γ = 61.65°
Element x y z (fractional)
Mg 0.0000 0.0000 0.0000
Cu 0.5184 0.5184 0.0000
Cu 0.7472 0.2472 0.5000
Ru 0.2700 0.7700 0.5000



# 2
DFT (PBE) results for crystalline Ba3PtO at its relaxed geometry.

Values from the calculation:
Uncorrected formation energy in meV per atom: -1213
Energy relative to the lowest polymorph listed for this composition in eV per atom: 0.0000
D(E_F) in states/eV/cell: 4.270
Crystal system: triclinic
Theoretical density in g/cm3: 6.17
Calculated volume in Å³ per cell: 335.26
Space-group type: P-1

a = 7.3741 Å, b = 7.3886 Å, c = 8.2630 Å
α = 90.12°, β = 116.31°, γ = 119.87°
Element x y z (fractional)
Ba 0.0177 0.4488 0.2306
Ba 0.2822 0.0683 0.2301
Ba 0.3373 0.2864 0.7701
Ba 0.6627 0.7136 0.2299
Ba 0.7178 0.9317 0.7699
Ba 0.9823 0.5512 0.7694
Pt 0.1984 0.8493 0.5481
Pt 0.8016 0.1507 0.4519
O 0.1821 0.3406 0.0219
O 0.8179 0.6594 0.9781



# 3
DFT (PBE) results for crystalline LiPmPuRu at its relaxed geometry.

Values from the calculation:
D(E_F) in states/eV/cell: 10.368
Crystal system: cubic
Theoretical density in g/cm3: 9.60
Calculated volume in Å³ per cell: 85.93
Space-group type: F-43m
DFT formation energy in meV/atom: -27

a = 4.9532 Å, b = 4.9532 Å, c = 4.9532 Å
α = 60.00°, β = 60.00°, γ = 60.00°
Element x y z (fractional)
Li 0.0000 0.0000 0.0000
Pm 0.7500 0.7500 0.7500
Pu 0.2500 0.2500 0.2500
Ru 0.5000 0.5000 0.5000



# 4
DFT (PBE) results for crystalline RbTlFe2I6 at its relaxed geometry.

Values from the calculation:
Uncorrected formation energy in meV per atom: -475
D(E_F) in states/eV/cell: 22.844
Crystal system: monoclinic
Theoretical density in g/cm3: 4.25
Calculated volume in Å³ per cell: 908.82
Space-group type: C2/c

a = 10.7079 Å, b = 10.7079 Å, c = 8.2431 Å
α = 101.12°, β = 101.12°, γ = 85.07°
Element x y z (fractional)
Rb 0.1784 0.8216 0.7500
Rb 0.8216 0.1784 0.2500
Tl 0.3973 0.6027 0.2500
Tl 0.6027 0.3973 0.7500
Fe 0.1253 0.2939 0.7520
Fe 0.2939 0.1253 0.2520
Fe 0.7061 0.8747 0.7480
Fe 0.8747 0.7061 0.2480
I 0.0969 0.6032 0.3470
I 0.1049 0.1806 0.0088
I 0.1806 0.1049 0.5088
I 0.2899 0.4697 0.8287
I 0.3968 0.9031 0.1530
I 0.4697 0.2899 0.3287
I 0.5303 0.7101 0.6713
I 0.6032 0.0969 0.8470
I 0.7101 0.5303 0.1713
I 0.8194 0.8951 0.4912
I 0.8951 0.8194 0.9912
I 0.9031 0.3968 0.6530



# 5
DFT (PBE) results for crystalline SmEr2Pu at its relaxed geometry.

Values from the calculation:
Energy relative to the lowest polymorph listed for this composition in eV per atom: 0.0999
D(E_F) in states/eV/cell: 10.875
Crystal system: cubic
Theoretical density in g/cm3: 9.81
Calculated volume in Å³ per cell: 123.32
Space-group type: Fm-3m
DFT formation energy in meV/atom: 196

a = 5.5871 Å, b = 5.5871 Å, c = 5.5871 Å
α = 60.00°, β = 60.00°, γ = 60.00°
Element x y z (fractional)
Sm 0.0000 0.0000 0.0000
Er 0.2500 0.2500 0.2500
Er 0.7500 0.7500 0.7500
Pu 0.5000 0.5000 0.5000



# 6
DFT (PBE) results for crystalline Cu2AgF8 at its relaxed geometry.

Values from the calculation:
Uncorrected formation energy in meV per atom: -1184
Energy relative to the lowest polymorph listed for this composition in eV per atom: 0.0543
D(E_F) in states/eV/cell: 3.855
Crystal system: trigonal
Theoretical density in g/cm3: 4.53
Calculated volume in Å³ per cell: 141.93
Space-group type: P-3

a = 6.5288 Å, b = 6.5288 Å, c = 3.8441 Å
α = 90.00°, β = 90.00°, γ = 120.00°
Element x y z (fractional)
Cu 0.3333 0.6667 0.2445
Cu 0.6667 0.3333 0.7555
Ag 0.0000 0.0000 0.0000
F 0.1649 0.3317 0.2477
F 0.1668 0.8351 0.2477
F 0.3317 0.1668 0.7523
F 0.3333 0.6667 0.7413
F 0.6667 0.3333 0.2587
F 0.6683 0.8332 0.2477
F 0.8332 0.1649 0.7523
F 0.8351 0.6683 0.7523



# 7
DFT (PBE) results for crystalline MnAl5Ru6 at its relaxed geometry.

Values from the calculation:
D(E_F) in states/eV/cell: 11.339
Crystal system: orthorhombic
Theoretical density in g/cm3: 8.16
Calculated volume in Å³ per cell: 162.01
Space-group type: Cmmm
DFT formation energy in meV/atom: -581

a = 6.7023 Å, b = 6.7023 Å, c = 6.0106 Å
α = 90.00°, β = 90.00°, γ = 143.13°
Element x y z (fractional)
Mn 0.0000 0.0000 0.0000
Al 0.0000 0.0000 0.5000
Al 0.3340 0.6660 0.0000
Al 0.3344 0.6656 0.5000
Al 0.6660 0.3340 0.0000
Al 0.6656 0.3344 0.5000
Ru 0.1657 0.8343 0.2496
Ru 0.1657 0.8343 0.7504
Ru 0.5000 0.5000 0.2478
Ru 0.5000 0.5000 0.7522
Ru 0.8343 0.1657 0.2496
Ru 0.8343 0.1657 0.7504



# 8
DFT (PBE) results for crystalline CuTe2P at its relaxed geometry.

Values from the calculation:
Uncorrected formation energy in meV per atom: 188
D(E_F) in states/eV/cell: 0.967
Crystal system: monoclinic
Theoretical density in g/cm3: 5.73
Calculated volume in Å³ per cell: 101.30
Space-group type: Cm

a = 7.0441 Å, b = 7.0441 Å, c = 3.9237 Å
α = 102.64°, β = 102.64°, γ = 32.30°
Element x y z (fractional)
Cu 0.0000 0.0000 0.0000
Te 0.5211 0.5211 0.5062
Te 0.7948 0.7948 0.7991
P 0.3281 0.3281 0.3480